DFT (PBE-GGA) results for a relaxed CdCuPtO5 crystal.

Cell: 5.611 5.611 7.343 Å, 101.37 101.37 113.83°
Positions (direct):
1 Cd 0.317 0.683 0.250
2 Cd 0.683 0.317 0.750
3 Cu 0.670 0.330 0.250
4 Cu 0.330 0.670 0.750
5 Pt 0.000 0.000 0.500
6 Pt 0.000 0.000 0.000
7 O 0.079 0.921 0.250
8 O 0.921 0.079 0.750
9 O 0.846 0.261 0.071
10 O 0.154 0.739 0.929
11 O 0.739 0.154 0.429
12 O 0.261 0.846 0.571
13 O 0.678 0.637 0.418
14 O 0.322 0.363 0.582
15 O 0.363 0.322 0.082
16 O 0.637 0.678 0.918

Output
Fermi-level density of states = 0.66 states/eV/atom
Energy relative to the elements, uncorrected = -0.4978 eV per atom